# TbPr3NdEr

Crystalline TbPr3NdEr at its relaxed geometry (GGA-PBE, Alexandria via LeMat-Bulk).

- SG: Cmcm

a = 5.165 Å, b = 8.180 Å, c = 10.285 Å
α = 90.00°, β = 90.00°, γ = 108.40°
Fractional coordinates of all 12 atoms:
Pr 0.166 0.332 0.750
Pr 0.666 0.332 0.001
Tb 0.165 0.329 0.250
Nd 0.000 0.000 0.000
Pr 0.334 0.668 0.501
Er 0.501 0.002 0.250
Tb 0.835 0.671 0.750
Pr 0.834 0.668 0.250
Er 0.499 0.998 0.750
Nd 0.000 0.000 0.500
Pr 0.334 0.668 0.999
Pr 0.666 0.332 0.499

***

# CaBiPb4

Crystalline CaBiPb4 at its relaxed geometry (GGA-PBE, Alexandria via LeMat-Bulk).

- SG: F-43m

a = 6.529 Å, b = 6.529 Å, c = 6.529 Å
α = 60.00°, β = 60.00°, γ = 60.00°
Fractional coordinates of all 6 atoms:
Pb 0.625 0.625 0.126
Ca 0.250 0.250 0.250
Pb 0.625 0.625 0.625
Pb 0.126 0.625 0.625
Pb 0.625 0.126 0.625
Bi 0.000 0.000 0.000

***

# Rb2TlHgSb2

Crystalline Rb2TlHgSb2 at its relaxed geometry (GGA-PBE, Alexandria via LeMat-Bulk).

- SG: Ibam

a = 7.405 Å, b = 7.421 Å, c = 9.815 Å
α = 112.21°, β = 112.16°, γ = 90.00°
Fractional coordinates of all 12 atoms:
Rb 0.088 0.335 0.669
Sb 0.360 0.600 0.199
Hg 0.500 0.250 0.000
Sb 0.839 0.100 0.199
Sb 0.640 0.400 0.801
Tl 0.000 0.750 0.000
Rb 0.418 0.165 0.331
Rb 0.912 0.665 0.331
Tl 0.000 0.250 0.000
Hg 0.500 0.750 0.000
Rb 0.582 0.835 0.669
Sb 0.161 0.900 0.801

***

# Ac2GaP

Crystalline Ac2GaP at its relaxed geometry (GGA-PBE, Alexandria via LeMat-Bulk).

- Relative energy among the computed polymorphs: 277.8 meV/atom
- SG: Fm-3m

a = 5.447 Å, b = 5.447 Å, c = 5.447 Å
α = 60.00°, β = 60.00°, γ = 60.00°
Fractional coordinates of all 4 atoms:
Ac 0.750 0.750 0.750
P 0.000 0.000 0.000
Ga 0.500 0.500 0.500
Ac 0.250 0.250 0.250

***

Magnetic moment
In order: 0.004 0.000 0.000 0.000
Unit: μB per formula unit
Energy
In order: -56.389 -21.085 -29.305 -18.937
Unit: eV per cell